# 1
# AgGeTe2

A relaxed AgGeTe2 crystal (PBE, Alexandria).

POSCAR file:
```
AgGeTe2
1.0
2.0264 1.1699 7.3688
-2.0264 1.1699 7.3688
0.0000 -2.3399 7.3688
Ag Ge Te
1 1 2
Direct
0.0000 0.0000 0.0000 Ag
0.1670 0.1670 0.1670 Ge
0.4154 0.4154 0.4154 Te
0.5878 0.5878 0.5878 Te
```

Output
DOS at the Fermi energy: 2.5 states/eV per cell

# 2
# Tb2PrFe

A relaxed Tb2PrFe crystal (PBE, Alexandria).

POSCAR file:
```
Tb2PrFe
1.0
1.7590 1.0155 10.7331
-1.7590 1.0155 10.7331
0.0000 -2.0311 10.7331
Tb Pr Fe
2 1 1
Direct
0.1097 0.1097 0.1097 Tb
0.8903 0.8903 0.8903 Tb
0.0000 0.0000 0.0000 Pr
0.5000 0.5000 0.5000 Fe
```

Output
DOS at the Fermi energy: 5.2 states/eV per cell
energy relative to the lowest polymorph listed for this composition: 0.217 eV/atom
DFT formation energy: 312 meV/atom

# 3
# CsTc3Sn

A relaxed CsTc3Sn crystal (PBE, Alexandria).

POSCAR file:
```
CsTc3Sn
1.0
5.0033 0.0000 0.0000
0.0000 5.0033 0.0000
0.0000 0.0000 5.0033
Cs Tc Sn
1 3 1
Direct
0.0000 0.0000 0.0000 Cs
0.0000 0.0000 0.5000 Tc
0.0000 0.5000 0.0000 Tc
0.5000 0.0000 0.0000 Tc
0.5000 0.5000 0.5000 Sn
```

Output
DOS at the Fermi energy: 3.4 states/eV per cell
energy relative to the lowest polymorph listed for this composition: 0.877 eV/atom
DFT formation energy: 2887 meV/atom

Number 1: total magnetic moment 0.00 μB/cell, total energy -3.395 eV/atom. Number 2: total magnetic moment 1.05 μB/cell, total energy -5.314 eV/atom. Number 3: total magnetic moment 6.03 μB/cell, total energy -4.304 eV/atom.